# CaThPt4 (PBE-GGA, relaxed)
data_CaThPt4
_space_group_name_H-M_alt 'P 1'
_space_group_IT_number 1
_space_group_name_Hall 'P 1'
_cell_length_a 5.4852
_cell_length_b 5.4852
_cell_length_c 5.4852
_cell_angle_alpha 60.00
_cell_angle_beta 60.00
_cell_angle_gamma 60.00
loop_
_atom_site_label
_atom_site_fract_x
_atom_site_fract_y
_atom_site_fract_z
Ca1 0.0000 0.0000 0.0000
Th1 0.7500 0.7500 0.7500
Pt1 0.3745 0.3745 0.3745
Pt2 0.3745 0.3745 0.8765
Pt3 0.3745 0.8765 0.3745
Pt4 0.8765 0.3745 0.3745
# **VASP energy**: -6.647 eV/atom
# **M_tot**: 0.000 μB/atom
# **Calculated volume**: 19.449 Å³ per atom
# **ΔH_f (0 K)**: -608 kJ/mol of formula units

# CaThPt2 (PBE-GGA, relaxed)
data_CaThPt2
_space_group_name_H-M_alt 'P 1'
_space_group_IT_number 1
_space_group_name_Hall 'P 1'
_cell_length_a 5.0448
_cell_length_b 5.0448
_cell_length_c 5.0448
_cell_angle_alpha 60.00
_cell_angle_beta 60.00
_cell_angle_gamma 60.00
loop_
_atom_site_label
_atom_site_fract_x
_atom_site_fract_y
_atom_site_fract_z
Ca1 0.0000 0.0000 0.0000
Th1 0.5000 0.5000 0.5000
Pt1 0.2500 0.2500 0.2500
Pt2 0.7500 0.7500 0.7500
# **VASP energy**: -6.408 eV/atom
# **M_tot**: 0.000 μB/atom
# **Calculated volume**: 22.696 Å³ per atom
# **ΔH_f (0 K)**: -399 kJ/mol of formula units
# **Offset from the most stable computed form**: 0.295 eV per formula unit